Compound: YTeIr2Cl
Source: Alexandria via LeMat-Bulk
Functional: PBE-GGA
Structure: relaxed

```
YTeIr2Cl
1.0
4.905 0.000 0.000
0.000 5.182 0.000
0.000 0.000 4.905
Ir Cl Te Y
2 1 1 1
direct
0.000 0.000 0.500
0.500 0.000 0.000
0.000 0.500 0.000
0.000 0.000 0.000
0.500 0.500 0.500
```

Summary:
Formation energy without anion corrections (eV/atom): 0.46

---

Compound: ZnTeIr2Cl
Source: Alexandria via LeMat-Bulk
Functional: PBE-GGA
Structure: relaxed

```
ZnTeIr2Cl
1.0
-1.670 -1.539 4.350
-3.583 -2.979 -2.429
3.178 -3.738 -0.103
Ir Te Cl Zn
2 1 1 1
direct
0.500 0.000 0.000
0.000 0.000 0.500
0.000 0.000 0.000
0.000 0.500 0.000
0.500 0.500 0.500
```

Summary:
Formation energy without anion corrections (eV/atom): 1.22

---

Compound: ZrTe2IrCl
Source: Alexandria via LeMat-Bulk
Functional: PBE-GGA
Structure: relaxed

```
ZrTe2IrCl
1.0
5.270 0.000 0.000
0.000 5.167 0.000
0.000 0.000 5.270
Ir Te Cl Zr
1 2 1 1
direct
0.000 0.000 0.000
0.500 0.000 0.000
0.000 0.000 0.500
0.500 0.500 0.500
0.000 0.500 0.000
```

Summary:
Formation energy without anion corrections (eV/atom): 0.28

---

Compound: Th2IrCl
Source: Alexandria via LeMat-Bulk
Functional: PBE-GGA
Structure: relaxed

```
Th2IrCl
1.0
-4.057 0.829 -0.050
-2.614 -2.314 2.228
-1.327 4.248 6.703
Th Ir Cl
2 1 1
direct
0.068 0.068 0.797
0.268 0.268 0.196
0.668 0.668 0.996
0.496 0.496 0.511
```

Summary:
E above lowest polymorph (eV/f.u.): 0.04
Formation energy without anion corrections (eV/atom): -1.11

---

Compound: Th2IrCl2
Source: Alexandria via LeMat-Bulk
Functional: PBE-GGA
Structure: relaxed

```
Th2IrCl2
1.0
-1.124 3.436 -1.991
-4.015 0.905 -0.450
-1.265 7.087 8.668
Th Cl Ir
2 2 1
direct
0.719 0.206 0.357
0.281 0.794 0.643
0.448 0.916 0.188
0.552 0.084 0.812
0.000 0.500 0.500
```

Summary:
Formation energy without anion corrections (eV/atom): -1.53

---

Compound: Th2IrCl
Source: Alexandria via LeMat-Bulk
Functional: PBE-GGA
Structure: relaxed

```
Th2IrCl
1.0
4.055 0.000 0.000
2.028 3.512 0.000
0.000 0.000 7.746
Th Cl Ir
2 1 1
direct
0.667 0.667 0.208
0.333 0.333 0.792
0.000 0.000 0.500
0.000 0.000 0.000
```

Summary:
E above lowest polymorph (eV/f.u.): 0.00
Formation energy without anion corrections (eV/atom): -1.12

---

> Which of these has the highest formation energy without anion corrections?

ZnTeIr2Cl

---

> Which of these has the highest formation energy without anion corrections?

ZnTeIr2Cl

---

> Look up the formation energy without anion corrections of the second one.

1.22 eV/atom